! NiTe3Au (PBEsol, relaxed); values from VASP
! Raw total energy   -15.1 eV/cell
! Size of the total moment   0.299 μB per atom
! Space-group type   Pm-3m
&SYSTEM
  ibrav = 0, nat = 5, ntyp = 3
/
ATOMIC_SPECIES
Ni 58.69 Ni.upf
Te 127.60 Te.upf
Au 196.97 Au.upf
ATOMIC_POSITIONS angstrom
Ni 0.0000 0.0000 0.0000
Te 0.0000 2.6614 2.6614
Te 2.6614 0.0000 2.6614
Te 2.6614 2.6614 0.0000
Au 2.6614 2.6614 2.6614
CELL_PARAMETERS angstrom
5.3228 0.0000 0.0000
0.0000 5.3228 0.0000
0.0000 0.0000 5.3228

***

! NiTe2Au (PBEsol, relaxed); values from VASP
! Size of the total moment   0.000 μB per atom
! Energy relative to the lowest polymorph listed for this composition   0 meV per atom
! Space-group type   Immm
&SYSTEM
  ibrav = 0, nat = 4, ntyp = 3
/
ATOMIC_SPECIES
Ni 58.69 Ni.upf
Te 127.60 Te.upf
Au 196.97 Au.upf
ATOMIC_POSITIONS angstrom
Ni 0.0000 0.0000 0.0000
Te 1.8124 0.0000 1.7702
Te 0.0000 2.1171 3.9709
Au 0.0000 0.0000 5.7411
CELL_PARAMETERS angstrom
-1.8124 2.1171 5.7411
1.8124 -2.1171 5.7411
1.8124 2.1171 -5.7411

***

! TlNi2Au (PBEsol, relaxed); values from VASP
! Size of the total moment   0.000 μB per atom
! Space-group type   Imm2
! Energy of formation   19 kJ per mole of atoms
&SYSTEM
  ibrav = 0, nat = 4, ntyp = 3
/
ATOMIC_SPECIES
Tl 204.38 Tl.upf
Ni 58.69 Ni.upf
Au 196.97 Au.upf
ATOMIC_POSITIONS angstrom
Tl 0.0000 0.0000 0.0000
Ni 1.9083 0.0000 2.0030
Ni 0.0000 0.0000 3.9865
Au 0.0000 1.9271 1.9913
CELL_PARAMETERS angstrom
-1.9083 1.9271 3.9997
1.9083 -1.9271 3.9997
1.9083 1.9271 -3.9997

***

! TlNi2Au (PBEsol, relaxed); values from VASP
! Size of the total moment   0.131 μB per atom
! Space-group type   P4mm
! Energy of formation   21 kJ per mole of atoms
&SYSTEM
  ibrav = 0, nat = 4, ntyp = 3
/
ATOMIC_SPECIES
Tl 204.38 Tl.upf
Ni 58.69 Ni.upf
Au 196.97 Au.upf
ATOMIC_POSITIONS angstrom
Tl 0.0000 0.0000 0.0000
Ni 0.0000 0.0000 3.6474
Ni 1.5260 1.5260 4.8004
Au 1.5260 1.5260 2.1437
CELL_PARAMETERS angstrom
3.0520 0.0000 0.0000
0.0000 3.0520 0.0000
0.0000 0.0000 6.4720

***

! Tl2NiAu (PBEsol, relaxed); values from VASP
! Size of the total moment   0.000 μB per atom
! Space-group type   C2/m
! Energy of formation   24 kJ per mole of atoms
&SYSTEM
  ibrav = 0, nat = 4, ntyp = 3
/
ATOMIC_SPECIES
Tl 204.38 Tl.upf
Ni 58.69 Ni.upf
Au 196.97 Au.upf
ATOMIC_POSITIONS angstrom
Tl -0.2621 0.0000 1.6141
Tl 3.8210 0.0000 5.6187
Ni 2.3720 0.0000 0.0000
Au 1.7795 0.0000 3.6164
CELL_PARAMETERS angstrom
2.3720 -2.2169 0.0000
2.3720 2.2169 0.0000
-1.1850 0.0000 7.2329

***

! TlNiAu (PBEsol, relaxed); values from VASP
! Size of the total moment   0.000 μB per atom
! Space-group type   F-43m
! Energy of formation   17 kJ per mole of atoms
&SYSTEM
  ibrav = 0, nat = 3, ntyp = 3
/
ATOMIC_SPECIES
Tl 204.38 Tl.upf
Ni 58.69 Ni.upf
Au 196.97 Au.upf
ATOMIC_POSITIONS angstrom
Tl 0.0000 0.0000 0.0000
Ni 4.5387 4.5387 4.5387
Au 3.0258 3.0258 3.0258
CELL_PARAMETERS angstrom
0.0000 3.0258 3.0258
3.0258 0.0000 3.0258
3.0258 3.0258 0.0000

***

! TlNi2Au (PBEsol, relaxed); values from VASP
! Size of the total moment   0.000 μB per atom
! Space-group type   P4/mmm
! Energy of formation   11 kJ per mole of atoms
&SYSTEM
  ibrav = 0, nat = 4, ntyp = 3
/
ATOMIC_SPECIES
Tl 204.38 Tl.upf
Ni 58.69 Ni.upf
Au 196.97 Au.upf
ATOMIC_POSITIONS angstrom
Tl 0.0000 0.0000 0.0000
Ni 0.0000 2.0417 1.7547
Ni 2.0417 0.0000 1.7547
Au 2.0417 2.0417 0.0000
CELL_PARAMETERS angstrom
4.0833 0.0000 0.0000
0.0000 4.0833 0.0000
0.0000 0.0000 3.5094

***

! Ni2WAu (PBEsol, relaxed); values from VASP
! Size of the total moment   0.000 μB per atom
! Energy relative to the lowest polymorph listed for this composition   123 meV per atom
! Space-group type   Amm2
! Energy of formation   12 kJ per mole of atoms
&SYSTEM
  ibrav = 0, nat = 4, ntyp = 3
/
ATOMIC_SPECIES
Ni 58.69 Ni.upf
W 183.84 W.upf
Au 196.97 Au.upf
ATOMIC_POSITIONS angstrom
Ni 0.0000 0.0000 0.0000
Ni 2.0269 0.0000 1.2919
W 0.0000 0.0000 7.1572
Au 2.0269 0.0000 3.8361
CELL_PARAMETERS angstrom
4.0538 0.0000 0.0000
0.0000 1.3277 4.8934
0.0000 -1.3277 4.8934

***

! Ni2WAu (PBEsol, relaxed); values from VASP
! Size of the total moment   0.000 μB per atom
! Energy relative to the lowest polymorph listed for this composition   303 meV per atom
! Space-group type   F-43m
! Energy of formation   30 kJ per mole of atoms
&SYSTEM
  ibrav = 0, nat = 4, ntyp = 3
/
ATOMIC_SPECIES
Ni 58.69 Ni.upf
W 183.84 W.upf
Au 196.97 Au.upf
ATOMIC_POSITIONS angstrom
Ni 0.0000 0.0000 0.0000
Ni 1.4980 1.4980 1.4980
W 2.9961 2.9961 2.9961
Au 4.4941 4.4941 4.4941
CELL_PARAMETERS angstrom
0.0000 2.9961 2.9961
2.9961 0.0000 2.9961
2.9961 2.9961 0.0000

***

! NiWAu2 (PBEsol, relaxed); values from VASP
! Size of the total moment   0.160 μB per atom
! Energy relative to the lowest polymorph listed for this composition   90 meV per atom
! Space-group type   P4/mmm
! Energy of formation   43 kJ per mole of atoms
&SYSTEM
  ibrav = 0, nat = 4, ntyp = 3
/
ATOMIC_SPECIES
Ni 58.69 Ni.upf
W 183.84 W.upf
Au 196.97 Au.upf
ATOMIC_POSITIONS angstrom
Ni 0.0000 0.0000 0.0000
W 2.3704 2.3704 0.0000
Au 0.0000 2.3704 1.3669
Au 2.3704 0.0000 1.3669
CELL_PARAMETERS angstrom
4.7408 0.0000 0.0000
0.0000 4.7408 0.0000
0.0000 0.0000 2.7338

***

! Ni2WAu (PBEsol, relaxed); values from VASP
! Size of the total moment   0.028 μB per atom
! Energy relative to the lowest polymorph listed for this composition   252 meV per atom
! Space-group type   R3m
! Energy of formation   25 kJ per mole of atoms
&SYSTEM
  ibrav = 0, nat = 4, ntyp = 3
/
ATOMIC_SPECIES
Ni 58.69 Ni.upf
W 183.84 W.upf
Au 196.97 Au.upf
ATOMIC_POSITIONS angstrom
Ni 0.0000 0.0000 0.0000
Ni 0.0000 0.0000 6.6371
W 0.0000 0.0000 13.1564
Au 0.0000 0.0000 19.2547
CELL_PARAMETERS angstrom
1.3558 0.7828 8.5466
-1.3558 0.7828 8.5466
0.0000 -1.5656 8.5466

***

! Ni2WAu (PBEsol, relaxed); values from VASP
! Size of the total moment   0.000 μB per atom
! Energy relative to the lowest polymorph listed for this composition   138 meV per atom
! Space-group type   R-3m
! Energy of formation   14 kJ per mole of atoms
&SYSTEM
  ibrav = 0, nat = 4, ntyp = 3
/
ATOMIC_SPECIES
Ni 58.69 Ni.upf
W 183.84 W.upf
Au 196.97 Au.upf
ATOMIC_POSITIONS angstrom
Ni 0.0000 0.0000 6.2883
Ni 0.0000 0.0000 19.1835
W 0.0000 0.0000 12.7359
Au 0.0000 0.0000 0.0000
CELL_PARAMETERS angstrom
1.3600 0.7852 8.4906
-1.3600 0.7852 8.4906
0.0000 -1.5704 8.4906

***

Copy entry 12 word for word.
! Ni2WAu (PBEsol, relaxed); values from VASP
! Size of the total moment   0.000 μB per atom
! Energy relative to the lowest polymorph listed for this composition   138 meV per atom
! Space-group type   R-3m
! Energy of formation   14 kJ per mole of atoms
&SYSTEM
  ibrav = 0, nat = 4, ntyp = 3
/
ATOMIC_SPECIES
Ni 58.69 Ni.upf
W 183.84 W.upf
Au 196.97 Au.upf
ATOMIC_POSITIONS angstrom
Ni 0.0000 0.0000 6.2883
Ni 0.0000 0.0000 19.1835
W 0.0000 0.0000 12.7359
Au 0.0000 0.0000 0.0000
CELL_PARAMETERS angstrom
1.3600 0.7852 8.4906
-1.3600 0.7852 8.4906
0.0000 -1.5704 8.4906

***

- What is the formula in the ninth record?
  Ni2WAu